Compound: Zr2CdPt
Source: the Alexandria database
Functional: PBE
Structure: optimized geometry

Space group ... No. 44
Density of states at the Fermi level ... 1.185 states/eV/atom
Total energy ... -0.473 Ry/atom

a b c (Å): 5.869 5.869 5.869
angles (deg): 146.46 132.04 59.79
Fractional coordinates of all 4 atoms:
Zr 0.000 0.000 0.000
Zr 0.731 0.231 0.500
Cd 0.282 0.782 0.500
Pt 0.510 0.510 0.000

Compound: Zr2CdPt9
Source: the Alexandria database
Functional: PBE
Structure: optimized geometry

Space group ... No. 123
Density of states at the Fermi level ... 0.802 states/eV/atom
Total energy ... -0.502 Ry/atom

a b c (Å): 4.050 4.050 12.139
angles (deg): 90.00 90.00 90.00
Fractional coordinates of all 12 atoms:
Zr 0.000 0.000 0.170
Zr 0.000 0.000 0.830
Cd 0.000 0.000 0.500
Pt 0.000 0.500 0.000
Pt 0.000 0.500 0.330
Pt 0.000 0.500 0.670
Pt 0.500 0.000 0.000
Pt 0.500 0.000 0.330
Pt 0.500 0.000 0.670
Pt 0.500 0.500 0.165
Pt 0.500 0.500 0.500
Pt 0.500 0.500 0.835

Compound: Zr3CdPt
Source: the Alexandria database
Functional: PBE
Structure: optimized geometry

Space group ... No. 221
Energy above the lowest structure with this stoichiometry ... 0.00 eV per formula unit
Density of states at the Fermi level ... 1.517 states/eV/atom
Total energy ... -0.468 Ry/atom

a b c (Å): 5.117 5.117 5.117
angles (deg): 90.00 90.00 90.00
Fractional coordinates of all 5 atoms:
Zr 0.000 0.000 0.500
Zr 0.000 0.500 0.000
Zr 0.500 0.000 0.000
Cd 0.500 0.500 0.500
Pt 0.000 0.000 0.000

Compound: Zr2CdPt
Source: the Alexandria database
Functional: PBE
Structure: optimized geometry

Space group ... No. 122
Density of states at the Fermi level ... 0.710 states/eV/atom
Total energy ... -0.456 Ry/atom

a b c (Å): 6.264 6.264 6.264
angles (deg): 102.31 102.31 125.01
Fractional coordinates of all 8 atoms:
Zr 0.081 0.625 0.956
Zr 0.375 0.331 0.456
Zr 0.669 0.125 0.044
Zr 0.875 0.919 0.544
Cd 0.250 0.750 0.500
Cd 0.500 0.500 0.000
Pt 0.000 0.000 0.000
Pt 0.750 0.250 0.500

Compound: ZrCdPt2
Source: the Alexandria database
Functional: PBE
Structure: optimized geometry

Space group ... No. 71
Density of states at the Fermi level ... 0.655 states/eV/atom
Total energy ... -0.397 Ry/atom

a b c (Å): 6.164 6.164 6.164
angles (deg): 153.26 131.29 56.44
Fractional coordinates of all 4 atoms:
Zr 0.000 0.000 0.000
Cd 0.500 0.500 0.000
Pt 0.240 0.240 0.000
Pt 0.760 0.760 0.000

Compound: Zr2CdPt
Source: the Alexandria database
Functional: PBE
Structure: optimized geometry

Space group ... No. 160
Density of states at the Fermi level ... 0.910 states/eV/atom
Total energy ... -0.460 Ry/atom

a b c (Å): 9.457 9.457 9.457
angles (deg): 19.88 19.88 19.88
Fractional coordinates of all 4 atoms:
Zr 0.000 0.000 0.000
Zr 0.244 0.244 0.244
Cd 0.759 0.759 0.759
Pt 0.506 0.506 0.506